# 1
Entry from Alexandria: crystalline Hf3CuAs2 at its relaxed geometry (PBE).

Output
For the density of states at the Fermi level, the calculation gives 0.470 states/eV/atom. The total energy comes out at -7.8649 eV/atom. The value obtained for the formation energy is -656 meV per atom.

The structure in CIF format:
```
data_Hf3CuAs2
_space_group_name_H-M_alt 'P n m a'
_space_group_IT_number 62
_cell_length_a 10.8764
_cell_length_b 3.7856
_cell_length_c 10.4160
_cell_angle_alpha 90.00
_cell_angle_beta 90.00
_cell_angle_gamma 90.00
loop_
_space_group_symop_operation_xyz
'x,y,z'
'-x,-y,-z'
'-x+1/2,-y,z+1/2'
'x+1/2,y,-z+1/2'
'x+1/2,-y+1/2,-z+1/2'
'-x+1/2,y+1/2,z+1/2'
'-x,y+1/2,-z'
'x,-y+1/2,z'
loop_
_atom_site_label
_atom_site_fract_x
_atom_site_fract_y
_atom_site_fract_z
Hf1 0.0452 0.2500 0.1184
Hf2 0.1244 0.7500 0.5693
Hf3 0.2117 0.2500 0.7883
Cu1 0.1286 0.2500 0.3784
As1 0.0202 0.7500 0.3089
As2 0.1897 0.7500 0.0051
```

---

# 2
Entry from Alexandria: crystalline HfCu3As at its relaxed geometry (PBE).

Output
For the density of states at the Fermi level, the calculation gives 0.812 states/eV/atom. The total energy comes out at -3.9722 eV/atom. Its energy relative to the lowest polymorph listed for this composition is 4.34 eV/f.u. The value obtained for the formation energy is 1406 meV per atom.

The structure in CIF format:
```
data_HfCu3As
_space_group_name_H-M_alt 'P m -3 m'
_space_group_IT_number 221
_space_group_name_Hall '-P 4 2 3'
_cell_length_a 4.8280
_cell_length_b 4.8280
_cell_length_c 4.8280
_cell_angle_alpha 90.00
_cell_angle_beta 90.00
_cell_angle_gamma 90.00
loop_
_atom_site_label
_atom_site_fract_x
_atom_site_fract_y
_atom_site_fract_z
Hf1 0.0000 0.0000 0.0000
Cu1 0.0000 0.0000 0.5000
As1 0.5000 0.5000 0.5000
```

---

# 3
Entry from Alexandria: crystalline Hf8Cu2As at its relaxed geometry (PBE).

Output
For the density of states at the Fermi level, the calculation gives 0.957 states/eV/atom. The total energy comes out at -8.4223 eV/atom. The value obtained for the formation energy is -16 meV per atom.

The structure in CIF format:
```
data_Hf8Cu2As
_space_group_name_H-M_alt 'C 1 2/m 1'
_space_group_IT_number 12
_cell_length_a 7.7229
_cell_length_b 12.3120
_cell_length_c 4.9300
_cell_angle_alpha 90.00
_cell_angle_beta 107.89
_cell_angle_gamma 90.00
loop_
_space_group_symop_operation_xyz
'x,y,z'
'-x,-y,-z'
'-x,y,-z'
'x,-y,z'
'x+1/2,y+1/2,z'
'-x+1/2,-y+1/2,-z'
'-x+1/2,y+1/2,-z'
'x+1/2,-y+1/2,z'
loop_
_atom_site_label
_atom_site_fract_x
_atom_site_fract_y
_atom_site_fract_z
Hf1 0.0000 0.2345 0.0000
Hf2 0.1085 0.5000 0.8114
Hf3 0.2021 0.1185 0.6022
Cu1 0.0000 0.3084 0.5000
As1 0.0000 0.0000 0.0000
```

---

# 4
Entry from Alexandria: crystalline Hf2Cu2As at its relaxed geometry (PBE).

Output
For the density of states at the Fermi level, the calculation gives 0.717 states/eV/atom. The total energy comes out at -6.8210 eV/atom. Its energy relative to the lowest polymorph listed for this composition is 0.00 eV/f.u. The value obtained for the formation energy is -271 meV per atom.

The structure in CIF format:
```
data_Hf2Cu2As
_space_group_name_H-M_alt 'P 4/m b m'
_space_group_IT_number 127
_space_group_name_Hall '-P 4 2ab'
_cell_length_a 6.4342
_cell_length_b 6.4342
_cell_length_c 4.0475
_cell_angle_alpha 90.00
_cell_angle_beta 90.00
_cell_angle_gamma 90.00
loop_
_atom_site_label
_atom_site_fract_x
_atom_site_fract_y
_atom_site_fract_z
Hf1 0.1659 0.3341 0.0000
Cu1 0.1303 0.6303 0.5000
As1 0.0000 0.0000 0.5000
```

---

# 5
Entry from Alexandria: crystalline HfCuAs at its relaxed geometry (PBE).

Output
For the density of states at the Fermi level, the calculation gives 0.465 states/eV/atom. The total energy comes out at -6.7647 eV/atom. The value obtained for the formation energy is -532 meV per atom.

The structure in CIF format:
```
data_HfCuAs
_space_group_name_H-M_alt 'P 1 21/m 1'
_space_group_IT_number 11
_cell_length_a 3.7319
_cell_length_b 3.7170
_cell_length_c 7.0042
_cell_angle_alpha 90.00
_cell_angle_beta 90.97
_cell_angle_gamma 90.00
loop_
_space_group_symop_operation_xyz
'x,y,z'
'-x,-y,-z'
'-x,y+1/2,-z'
'x,-y+1/2,z'
loop_
_atom_site_label
_atom_site_fract_x
_atom_site_fract_y
_atom_site_fract_z
Hf1 0.2459 0.2500 0.1399
Cu1 0.2508 0.7500 0.4991
As1 0.2510 0.2500 0.7467
```

---

# 6
Entry from Alexandria: crystalline HfCu2AsRh at its relaxed geometry (PBE).

Output
For the density of states at the Fermi level, the calculation gives 0.979 states/eV/atom. The total energy comes out at -5.7069 eV/atom. The value obtained for the formation energy is 322 meV per atom.

The structure in CIF format:
```
data_HfCu2AsRh
_space_group_name_H-M_alt 'P 4/m m m'
_space_group_IT_number 123
_space_group_name_Hall '-P 4 2'
_cell_length_a 4.3705
_cell_length_b 4.3705
_cell_length_c 4.6611
_cell_angle_alpha 90.00
_cell_angle_beta 90.00
_cell_angle_gamma 90.00
loop_
_atom_site_label
_atom_site_fract_x
_atom_site_fract_y
_atom_site_fract_z
Hf1 0.0000 0.0000 0.0000
Cu1 0.0000 0.5000 0.5000
As1 0.5000 0.5000 0.5000
Rh1 0.5000 0.5000 0.0000
```

---

# 7
Entry from Alexandria: crystalline Hf2CuSiAs2 at its relaxed geometry (PBE).

Output
For the density of states at the Fermi level, the calculation gives 0.536 states/eV/atom. The total energy comes out at -6.0350 eV/atom. The calculation puts the uncorrected formation energy at 0.419 eV per atom.

The structure in CIF format:
```
data_Hf2CuSiAs2
_space_group_name_H-M_alt 'P 4/m m m'
_space_group_IT_number 123
_space_group_name_Hall '-P 4 2'
_cell_length_a 2.8838
_cell_length_b 2.8838
_cell_length_c 15.2468
_cell_angle_alpha 90.00
_cell_angle_beta 90.00
_cell_angle_gamma 90.00
loop_
_atom_site_label
_atom_site_fract_x
_atom_site_fract_y
_atom_site_fract_z
Hf1 0.0000 0.0000 0.1752
Cu1 0.0000 0.0000 0.5000
Si1 0.0000 0.0000 0.0000
As1 0.0000 0.0000 0.3489
```

---

# 8
Entry from Alexandria: crystalline HfCu2SiAs at its relaxed geometry (PBE).

Output
For the density of states at the Fermi level, the calculation gives 0.620 states/eV/atom. The total energy comes out at -5.2163 eV/atom. The calculation puts the uncorrected formation energy at 0.427 eV per atom.

The structure in CIF format:
```
data_HfCu2SiAs
_space_group_name_H-M_alt 'P 4/m m m'
_space_group_IT_number 123
_space_group_name_Hall '-P 4 2'
_cell_length_a 4.2406
_cell_length_b 4.2406
_cell_length_c 5.0954
_cell_angle_alpha 90.00
_cell_angle_beta 90.00
_cell_angle_gamma 90.00
loop_
_atom_site_label
_atom_site_fract_x
_atom_site_fract_y
_atom_site_fract_z
Hf1 0.0000 0.0000 0.0000
Cu1 0.0000 0.5000 0.5000
Si1 0.5000 0.5000 0.5000
As1 0.5000 0.5000 0.0000
```

---

# 9
Entry from Alexandria: crystalline HfCuSn2As at its relaxed geometry (PBE).

Output
For the density of states at the Fermi level, the calculation gives 0.531 states/eV/atom. The total energy comes out at -4.7300 eV/atom. Its energy relative to the lowest polymorph listed for this composition is 0.00 eV/f.u. The value obtained for the formation energy is 611 meV per atom.

The structure in CIF format:
```
data_HfCuSn2As
_space_group_name_H-M_alt 'P 4/m m m'
_space_group_IT_number 123
_space_group_name_Hall '-P 4 2'
_cell_length_a 5.5671
_cell_length_b 5.5671
_cell_length_c 5.0503
_cell_angle_alpha 90.00
_cell_angle_beta 90.00
_cell_angle_gamma 90.00
loop_
_atom_site_label
_atom_site_fract_x
_atom_site_fract_y
_atom_site_fract_z
Hf1 0.0000 0.0000 0.0000
Cu1 0.5000 0.5000 0.5000
Sn1 0.0000 0.5000 0.0000
As1 0.0000 0.0000 0.5000
```

---

# 10
Entry from Alexandria: crystalline HfCuSn2As at its relaxed geometry (PBE).

Output
For the density of states at the Fermi level, the calculation gives 1.086 states/eV/atom. The total energy comes out at -4.4067 eV/atom. Its energy relative to the lowest polymorph listed for this composition is 1.62 eV/f.u. The value obtained for the formation energy is 934 meV per atom.

The structure in CIF format:
```
data_HfCuSn2As
_space_group_name_H-M_alt 'P 4/m m m'
_space_group_IT_number 123
_space_group_name_Hall '-P 4 2'
_cell_length_a 5.5495
_cell_length_b 5.5495
_cell_length_c 4.8563
_cell_angle_alpha 90.00
_cell_angle_beta 90.00
_cell_angle_gamma 90.00
loop_
_atom_site_label
_atom_site_fract_x
_atom_site_fract_y
_atom_site_fract_z
Hf1 0.0000 0.0000 0.0000
Cu1 0.0000 0.0000 0.5000
Sn1 0.0000 0.5000 0.0000
As1 0.5000 0.5000 0.5000
```

---

# 11
Entry from Alexandria: crystalline Cu2HgAs2 at its relaxed geometry (PBE).

Output
For the density of states at the Fermi level, the calculation gives 0.452 states/eV/atom. The total energy comes out at -3.3249 eV/atom. Its energy relative to the lowest polymorph listed for this composition is 0.35 eV/f.u. The value obtained for the formation energy is 234 meV per atom.

The structure in CIF format:
```
data_Cu2HgAs2
_space_group_name_H-M_alt 'I 4/m m m'
_space_group_IT_number 139
_space_group_name_Hall '-I 4 2'
_cell_length_a 3.9106
_cell_length_b 3.9106
_cell_length_c 11.8627
_cell_angle_alpha 90.00
_cell_angle_beta 90.00
_cell_angle_gamma 90.00
loop_
_atom_site_label
_atom_site_fract_x
_atom_site_fract_y
_atom_site_fract_z
Cu1 0.0000 0.0000 0.1058
Hg1 0.0000 0.0000 0.5000
As1 0.0000 0.5000 0.2500
```

---

# 12
Entry from Alexandria: crystalline CuHgAs at its relaxed geometry (PBE).

Output
For the density of states at the Fermi level, the calculation gives 0.356 states/eV/atom. The total energy comes out at -2.7459 eV/atom. The value obtained for the formation energy is 270 meV per atom.

The structure in CIF format:
```
data_CuHgAs
_space_group_name_H-M_alt 'C m c m'
_space_group_IT_number 63
_space_group_name_Hall '-C 2c 2'
_cell_length_a 3.8206
_cell_length_b 16.6320
_cell_length_c 3.9409
_cell_angle_alpha 90.00
_cell_angle_beta 90.00
_cell_angle_gamma 90.00
loop_
_atom_site_label
_atom_site_fract_x
_atom_site_fract_y
_atom_site_fract_z
Cu1 0.0000 0.1462 0.2500
Hg1 0.0000 0.4284 0.2500
As1 0.0000 0.2487 0.7500
```